# 1
VASP calculation (PBE) on crystalline ZrCdHg at its relaxed geometry.

Lattice parameters (Å, degrees): 6.617 6.617 6.617 90.00 90.00 90.00
Space group F-43m (No. 216)
One atom of each set of equivalent atoms:
Zr1 0.000 0.000 0.000 [4 per cell]
Cd1 0.000 0.000 0.500 [4 per cell]
Hg1 0.250 0.250 0.750 [4 per cell]

Results
Energy relative to the elements: 45 meV per atom
Total magnetic moment: 0.00 μB/atom

---

# 2
VASP calculation (PBE) on crystalline Zr2Cd5Hg at its relaxed geometry.

Lattice parameters (Å, degrees): 6.293 12.585 4.329 90.00 90.00 90.00
Space group Pbam (No. 55)
One atom of each set of equivalent atoms:
Zr1 0.244 0.123 0.000 [4 per cell]
Cd1 0.000 0.500 0.500 [2 per cell]
Cd2 0.006 0.748 0.500 [4 per cell]
Cd3 0.244 0.373 0.000 [4 per cell]
Hg1 0.000 0.000 0.500 [2 per cell]

Results
Energy relative to the elements: -119 meV per atom
Total magnetic moment: 0.00 μB/atom

---

# 3
VASP calculation (PBE) on crystalline Zr2CdHg2 at its relaxed geometry.

Lattice parameters (Å, degrees): 4.246 4.246 13.431 90.00 90.00 90.00
Space group I4/mmm (No. 139)
One atom of each set of equivalent atoms:
Zr1 0.000 0.000 0.096 [4 per cell]
Cd1 0.000 0.000 0.500 [2 per cell]
Hg1 0.000 0.500 0.250 [4 per cell]

Results
Energy relative to the elements: 313 meV per atom
Total magnetic moment: 0.29 μB/atom